Record 1
A plane-wave DFT calculation with PBE was carried out for crystalline Sr2Al4Hg3Ge at its relaxed geometry.

Geometry as CIF:
```
data_Sr2Al4Hg3Ge
_space_group_name_H-M_alt 'P -4 m 2'
_space_group_IT_number 115
_space_group_name_Hall 'P -4 -2'
_cell_length_a 4.580
_cell_length_b 4.580
_cell_length_c 11.259
_cell_angle_alpha 90.00
_cell_angle_beta 90.00
_cell_angle_gamma 90.00
loop_
_atom_site_label
_atom_site_fract_x
_atom_site_fract_y
_atom_site_fract_z
Sr1 0.000 0.500 0.244
Al1 0.000 0.000 0.500
Al2 0.000 0.500 0.873
Al3 0.500 0.500 0.500
Hg1 0.000 0.000 0.000
Hg2 0.000 0.500 0.639
Ge1 0.500 0.500 0.000
```

## Properties
ρ = 6.73 Mg/m³
energy = -2.679 eV/atom

Record 2
A plane-wave DFT calculation with PBE was carried out for crystalline HoAlGe2 at its relaxed geometry.

Geometry as CIF:
```
data_HoAlGe2
_space_group_name_H-M_alt 'P m m n'
_space_group_IT_number 59
_cell_length_a 3.770
_cell_length_b 4.596
_cell_length_c 10.053
_cell_angle_alpha 90.00
_cell_angle_beta 90.00
_cell_angle_gamma 90.00
loop_
_space_group_symop_operation_xyz
'x,y,z'
'-x,-y,-z'
'-x+1/2,-y+1/2,z'
'x+1/2,y+1/2,-z'
'x+1/2,-y,-z'
'-x+1/2,y,z'
'-x,y+1/2,-z'
'x,-y+1/2,z'
loop_
_atom_site_label
_atom_site_fract_x
_atom_site_fract_y
_atom_site_fract_z
Ho1 0.250 0.250 0.135
Al1 0.250 0.750 0.343
Ge1 0.250 0.250 0.462
Ge2 0.250 0.250 0.843
```

## Properties
ρ = 6.43 Mg/m³
energy = -4.748 eV/atom

Record 3
A plane-wave DFT calculation with PBE was carried out for crystalline HoAlGe2 at its relaxed geometry.

Geometry as CIF:
```
data_HoAlGe2
_space_group_name_H-M_alt 'P 4/m m m'
_space_group_IT_number 123
_space_group_name_Hall '-P 4 2'
_cell_length_a 4.420
_cell_length_b 4.420
_cell_length_c 4.019
_cell_angle_alpha 90.00
_cell_angle_beta 90.00
_cell_angle_gamma 90.00
loop_
_atom_site_label
_atom_site_fract_x
_atom_site_fract_y
_atom_site_fract_z
Ho1 0.000 0.000 0.000
Al1 0.500 0.500 0.000
Ge1 0.000 0.500 0.500
```

## Properties
ρ = 7.13 Mg/m³
energy = -4.802 eV/atom

Record 4
A plane-wave DFT calculation with PBE was carried out for crystalline HoAl2Ge at its relaxed geometry.

Geometry as CIF:
```
data_HoAl2Ge
_space_group_name_H-M_alt 'P 4/m m m'
_space_group_IT_number 123
_space_group_name_Hall '-P 4 2'
_cell_length_a 4.207
_cell_length_b 4.207
_cell_length_c 4.363
_cell_angle_alpha 90.00
_cell_angle_beta 90.00
_cell_angle_gamma 90.00
loop_
_atom_site_label
_atom_site_fract_x
_atom_site_fract_y
_atom_site_fract_z
Ho1 0.000 0.000 0.000
Al1 0.000 0.500 0.500
Ge1 0.500 0.500 0.000
```

## Properties
ρ = 6.27 Mg/m³
energy = -4.589 eV/atom

Record 5
A plane-wave DFT calculation with PBE was carried out for crystalline Ho2AlGe at its relaxed geometry.

Geometry as CIF:
```
data_Ho2AlGe
_space_group_name_H-M_alt 'A m m 2'
_space_group_IT_number 38
_space_group_name_Hall 'A 2 -2'
_cell_length_a 4.002
_cell_length_b 4.340
_cell_length_c 10.829
_cell_angle_alpha 90.00
_cell_angle_beta 90.00
_cell_angle_gamma 90.00
loop_
_atom_site_label
_atom_site_fract_x
_atom_site_fract_y
_atom_site_fract_z
Ho1 0.000 0.000 0.000
Ho2 0.500 0.000 0.282
Al1 0.500 0.000 0.566
Ge1 0.000 0.000 0.720
```

## Properties
ρ = 7.58 Mg/m³
energy = -5.069 eV/atom

Record 6
A plane-wave DFT calculation with PBE was carried out for crystalline HoAl2Ge2 at its relaxed geometry.

Geometry as CIF:
```
data_HoAl2Ge2
_space_group_name_H-M_alt 'P -3 m 1'
_space_group_IT_number 164
_space_group_name_Hall '-P 3 2"'
_cell_length_a 4.2700
_cell_length_b 4.2700
_cell_length_c 6.5974
_cell_angle_alpha 90.00
_cell_angle_beta 90.00
_cell_angle_gamma 120.00
loop_
_atom_site_label
_atom_site_fract_x
_atom_site_fract_y
_atom_site_fract_z
Ho1 0.0000 0.0000 0.0000
Al1 0.3333 0.6667 0.6464
Ge1 0.3333 0.6667 0.2552
```

## Properties
ρ = 5.81 Mg/m³
energy = -4.666 eV/atom

Record 7
A plane-wave DFT calculation with PBE was carried out for crystalline HoAl2Ge2 at its relaxed geometry.

Geometry as CIF:
```
data_HoAl2Ge2
_space_group_name_H-M_alt 'P 1 21/m 1'
_space_group_IT_number 11
_space_group_name_Hall '-P 2yb'
_cell_length_a 5.689
_cell_length_b 4.199
_cell_length_c 8.941
_cell_angle_alpha 90.00
_cell_angle_beta 104.27
_cell_angle_gamma 90.00
loop_
_atom_site_label
_atom_site_fract_x
_atom_site_fract_y
_atom_site_fract_z
Ho1 0.138 0.250 0.289
Al1 0.305 0.750 0.053
Al2 0.408 0.250 0.670
Ge1 0.183 0.250 0.901
Ge2 0.259 0.750 0.530
```

## Properties
ρ = 5.84 Mg/m³
energy = -4.560 eV/atom

Record 8
A plane-wave DFT calculation with PBE was carried out for crystalline Ho2AlGe at its relaxed geometry.

Geometry as CIF:
```
data_Ho2AlGe
_space_group_name_H-M_alt 'P 4/m m m'
_space_group_IT_number 123
_space_group_name_Hall '-P 4 2'
_cell_length_a 4.734
_cell_length_b 4.734
_cell_length_c 4.039
_cell_angle_alpha 90.00
_cell_angle_beta 90.00
_cell_angle_gamma 90.00
loop_
_atom_site_label
_atom_site_fract_x
_atom_site_fract_y
_atom_site_fract_z
Ho1 0.000 0.500 0.000
Al1 0.000 0.000 0.500
Ge1 0.500 0.500 0.500
```

## Properties
ρ = 7.88 Mg/m³
energy = -4.874 eV/atom

Record 9
A plane-wave DFT calculation with PBE was carried out for crystalline Ho2AlGe at its relaxed geometry.

Geometry as CIF:
```
data_Ho2AlGe
_space_group_name_H-M_alt 'P 1 21/m 1'
_space_group_IT_number 11
_space_group_name_Hall '-P 2yb'
_cell_length_a 5.834
_cell_length_b 3.992
_cell_length_c 8.488
_cell_angle_alpha 90.00
_cell_angle_beta 107.50
_cell_angle_gamma 90.00
loop_
_atom_site_label
_atom_site_fract_x
_atom_site_fract_y
_atom_site_fract_z
Ho1 0.204 0.250 0.425
Ho2 0.285 0.750 0.067
Al1 0.365 0.750 0.711
Ge1 0.135 0.250 0.793
```

## Properties
ρ = 7.57 Mg/m³
energy = -5.062 eV/atom

Record 10
A plane-wave DFT calculation with PBE was carried out for crystalline Ho2AlGe at its relaxed geometry.

Geometry as CIF:
```
data_Ho2AlGe
_space_group_name_H-M_alt 'R -3 m'
_space_group_IT_number 166
_space_group_name_Hall '-R 3 2"'
_cell_length_a 3.9937
_cell_length_b 3.9937
_cell_length_c 28.1188
_cell_angle_alpha 90.00
_cell_angle_beta 90.00
_cell_angle_gamma 120.00
loop_
_atom_site_label
_atom_site_fract_x
_atom_site_fract_y
_atom_site_fract_z
Ho1 0.0000 0.0000 0.1103
Al1 0.0000 0.0000 0.0000
Ge1 0.0000 0.0000 0.5000
```

## Properties
ρ = 5.51 Mg/m³
energy = -4.309 eV/atom

Record 11
A plane-wave DFT calculation with PBE was carried out for crystalline HoAlGe2 at its relaxed geometry.

Geometry as CIF:
```
data_HoAlGe2
_space_group_name_H-M_alt 'R -3 m'
_space_group_IT_number 166
_space_group_name_Hall '-R 3 2"'
_cell_length_a 4.4075
_cell_length_b 4.4075
_cell_length_c 14.4893
_cell_angle_alpha 90.00
_cell_angle_beta 90.00
_cell_angle_gamma 120.00
loop_
_atom_site_label
_atom_site_fract_x
_atom_site_fract_y
_atom_site_fract_z
Ho1 0.0000 0.0000 0.0000
Al1 0.0000 0.0000 0.5000
Ge1 0.0000 0.0000 0.2216
```

## Properties
ρ = 6.89 Mg/m³
energy = -4.703 eV/atom

Record 12
A plane-wave DFT calculation with PBE was carried out for crystalline Ho4Al5Ge6 at its relaxed geometry.

Geometry as CIF:
```
data_Ho4Al5Ge6
_space_group_name_H-M_alt 'C m c 21'
_space_group_IT_number 36
_space_group_name_Hall 'C 2c -2'
_cell_length_a 4.122
_cell_length_b 19.946
_cell_length_c 15.134
_cell_angle_alpha 90.00
_cell_angle_beta 90.00
_cell_angle_gamma 90.00
loop_
_atom_site_label
_atom_site_fract_x
_atom_site_fract_y
_atom_site_fract_z
Ho1 0.000 0.013 0.000
Ho2 0.000 0.034 0.276
Ho3 0.000 0.167 0.816
Ho4 0.000 0.182 0.451
Al1 0.000 0.148 0.134
Al2 0.000 0.308 0.127
Al3 0.000 0.342 0.784
Al4 0.000 0.355 0.486
Al5 0.000 0.437 0.199
Ge1 0.000 0.106 0.621
Ge2 0.000 0.219 0.000
Ge3 0.000 0.231 0.264
Ge4 0.000 0.421 0.915
Ge5 0.000 0.434 0.633
Ge6 0.000 0.440 0.364
```

## Properties
ρ = 6.57 Mg/m³
energy = -4.762 eV/atom